The following is a PBE calculation of crystalline MgCrI3 at its relaxed geometry, from Alexandria via LeMat-Bulk.

Unit cell a=5.5911 b=5.5911 c=5.5911 alpha=90.00 beta=90.00 gamma=90.00
Closest atoms and distances in Å follow each position.
Space group Pm-3m (No. 221)
Unique sites:
Mg 0.0000 0.0000 0.0000  12 I 3.95
Cr 0.5000 0.5000 0.5000  6 I 2.80
I 0.0000 0.5000 0.5000  2 Cr 2.80

Computed properties:
Crystal system: cubic
Relative energy among the computed polymorphs in meV per atom: 0
Fermi-level density of states in states/eV/atom: 0.60
Magnetization in μB per cell: 3.5

***

The following is a PBE calculation of crystalline Sc3ReB at its relaxed geometry, from Alexandria via LeMat-Bulk.

Unit cell a=4.9784 b=4.9784 c=4.9784 alpha=90.00 beta=90.00 gamma=90.00
Closest atoms and distances in Å follow each position.
Space group Pm-3m (No. 221)
Unique sites:
Sc 0.0000 0.0000 0.5000  2 Re 2.49
Re 0.0000 0.0000 0.0000  6 Sc 2.49
B 0.5000 0.5000 0.5000  12 Sc 3.52

Computed properties:
Crystal system: cubic
Relative energy among the computed polymorphs in meV per atom: 759
Fermi-level density of states in states/eV/atom: 1.45
Magnetization in μB per cell: 0.0
E_form in meV per atom: 1082

***

The following is a PBE calculation of crystalline GaW2N4 at its relaxed geometry, from Alexandria via LeMat-Bulk.

Unit cell a=3.9359 b=3.9359 c=10.5858 alpha=90.00 beta=90.00 gamma=90.00
Closest atoms and distances in Å follow each position.
Space group I4/mmm (No. 139)
Unique sites:
Ga 0.0000 0.0000 0.0000  6 N 1.97-2.10
W 0.0000 0.0000 0.3668  1 N 1.78
N 0.0000 0.0000 0.1986  1 W 1.78
N 0.0000 0.5000 0.0000  2 Ga 1.97

Computed properties:
Crystal system: tetragonal
DFT total energy in Ry per atom: -0.585
Fermi-level density of states in states/eV/atom: 0.49
Magnetization in μB per cell: 5.5

***

The following is a PBE calculation of crystalline CePaGe at its relaxed geometry, from Alexandria via LeMat-Bulk.

Unit cell a=4.2856 b=4.2856 c=16.3630 alpha=90.00 beta=90.00 gamma=90.00
Closest atoms and distances in Å follow each position.
Space group I4/mmm (No. 139)
Unique sites:
Ce 0.0000 0.0000 0.1735  5 Ge 3.10-3.14
Pa 0.0000 0.5000 0.0000  4 Pa 3.03, 4 Ge 3.07
Ge 0.0000 0.0000 0.3653  4 Pa 3.07, 5 Ce 3.10-3.14

Computed properties:
Crystal system: tetragonal
Relative energy among the computed polymorphs in meV per atom: 0
Fermi-level density of states in states/eV/atom: 2.25
Magnetization in μB per cell: 3.1
E_form in meV per atom: -505